Entry 1:
This record from the Alexandria database describes crystalline ZrCo2Cu2 at its relaxed geometry. The functional is PBE-GGA.

Summary:
- V: 70.1 Å³/cell
- ΔH_f (0 K): 0.03 eV/atom
- Excess energy over the best structure of this formula in the dataset: 0.000 eV per atom

CIF file:
```
data_ZrCo2Cu2
_chemical_formula_sum 'Zr1 Co2 Cu2'
_symmetry_space_group_name_H-M 'P 1'
_symmetry_Int_Tables_number 1
_symmetry_space_group_name_Hall 'P 1'
_cell_length_a 3.584
_cell_length_b 3.584
_cell_length_c 6.020
_cell_angle_alpha 72.68
_cell_angle_beta 72.68
_cell_angle_gamma 90.00
loop_
_atom_site_label
_atom_site_type_symbol
_atom_site_fract_x
_atom_site_fract_y
_atom_site_fract_z
_atom_site_occupancy
Co1 Co 0.400 0.400 0.200 1
Cu1 Cu 0.750 0.250 0.500 1
Cu2 Cu 0.250 0.750 0.500 1
Zr1 Zr 0.000 0.000 0.000 1
Co2 Co 0.600 0.600 0.800 1
```

Entry 2:
This record from the Alexandria database describes crystalline ZrCoCu2 at its relaxed geometry. The functional is PBE-GGA.

Summary:
- V: 56.6 Å³/cell
- ΔH_f (0 K): -0.03 eV/atom

CIF file:
```
data_ZrCoCu2
_chemical_formula_sum 'Zr1 Co1 Cu2'
_symmetry_space_group_name_H-M 'P 1'
_symmetry_Int_Tables_number 1
_symmetry_space_group_name_Hall 'P 1'
_cell_length_a 4.377
_cell_length_b 3.597
_cell_length_c 3.597
_cell_angle_alpha 90.00
_cell_angle_beta 90.00
_cell_angle_gamma 90.00
loop_
_atom_site_label
_atom_site_type_symbol
_atom_site_fract_x
_atom_site_fract_y
_atom_site_fract_z
_atom_site_occupancy
Cu1 Cu 0.000 0.000 0.000 1
Cu2 Cu 0.000 0.500 0.500 1
Co1 Co 0.500 0.000 0.500 1
Zr1 Zr 0.500 0.500 0.000 1
```

Entry 3:
This record from the Alexandria database describes crystalline Zr5CoCu2 at its relaxed geometry. The functional is PBE-GGA.

Summary:
- V: 306.8 Å³/cell
- ΔH_f (0 K): -0.09 eV/atom

CIF file:
```
data_Zr5CoCu2
_chemical_formula_sum 'Zr10 Co2 Cu4'
_symmetry_space_group_name_H-M 'P 1'
_symmetry_Int_Tables_number 1
_symmetry_space_group_name_Hall 'P 1'
_cell_length_a 4.193
_cell_length_b 6.933
_cell_length_c 10.553
_cell_angle_alpha 90.00
_cell_angle_beta 90.00
_cell_angle_gamma 90.00
loop_
_atom_site_label
_atom_site_type_symbol
_atom_site_fract_x
_atom_site_fract_y
_atom_site_fract_z
_atom_site_occupancy
Cu1 Cu 0.500 0.422 0.837 1
Zr1 Zr 0.500 0.318 0.583 1
Co1 Co 0.000 0.500 0.500 1
Cu2 Cu 0.500 0.078 0.337 1
Zr2 Zr 0.500 0.818 0.917 1
Cu3 Cu 0.500 0.578 0.163 1
Cu4 Cu 0.500 0.922 0.663 1
Co2 Co 0.000 0.000 0.000 1
Zr3 Zr 0.000 0.000 0.500 1
Zr4 Zr 0.500 0.682 0.417 1
Zr5 Zr 0.000 0.355 0.288 1
Zr6 Zr 0.000 0.145 0.788 1
Zr7 Zr 0.000 0.645 0.712 1
Zr8 Zr 0.500 0.182 0.083 1
Zr9 Zr 0.000 0.855 0.212 1
Zr10 Zr 0.000 0.500 0.000 1
```

Entry 4:
This record from the Alexandria database describes crystalline ZrCo2Cu at its relaxed geometry. The functional is PBE-GGA.

Summary:
- V: 53.6 Å³/cell
- ΔH_f (0 K): -0.14 eV/atom

CIF file:
```
data_ZrCo2Cu
_chemical_formula_sum 'Zr1 Co2 Cu1'
_symmetry_space_group_name_H-M 'P 1'
_symmetry_Int_Tables_number 1
_symmetry_space_group_name_Hall 'P 1'
_cell_length_a 3.880
_cell_length_b 3.880
_cell_length_c 3.562
_cell_angle_alpha 90.00
_cell_angle_beta 90.00
_cell_angle_gamma 90.00
loop_
_atom_site_label
_atom_site_type_symbol
_atom_site_fract_x
_atom_site_fract_y
_atom_site_fract_z
_atom_site_occupancy
Co1 Co 0.500 0.500 0.000 1
Zr1 Zr 0.000 0.500 0.500 1
Cu1 Cu 0.500 0.000 0.500 1
Co2 Co 0.000 0.000 0.000 1
```

Entry 5:
This record from the Alexandria database describes crystalline ZrCo2Cu2 at its relaxed geometry. The functional is PBE-GGA.

Summary:
- V: 134.3 Å³/cell
- ΔH_f (0 K): 0.12 eV/atom
- Excess energy over the best structure of this formula in the dataset: 0.094 eV per atom

CIF file:
```
data_ZrCo2Cu2
_chemical_formula_sum 'Zr2 Co4 Cu4'
_symmetry_space_group_name_H-M 'P 1'
_symmetry_Int_Tables_number 1
_symmetry_space_group_name_Hall 'P 1'
_cell_length_a 6.983
_cell_length_b 6.983
_cell_length_c 2.754
_cell_angle_alpha 90.00
_cell_angle_beta 90.00
_cell_angle_gamma 90.00
loop_
_atom_site_label
_atom_site_type_symbol
_atom_site_fract_x
_atom_site_fract_y
_atom_site_fract_z
_atom_site_occupancy
Co1 Co 0.830 0.330 0.500 1
Co2 Co 0.670 0.830 0.500 1
Co3 Co 0.170 0.670 0.500 1
Co4 Co 0.330 0.170 0.500 1
Zr1 Zr 0.000 0.000 0.000 1
Cu1 Cu 0.125 0.375 0.000 1
Cu2 Cu 0.625 0.125 0.000 1
Zr2 Zr 0.500 0.500 0.000 1
Cu3 Cu 0.375 0.875 0.000 1
Cu4 Cu 0.875 0.625 0.000 1
```

Entry 6:
This record from the Alexandria database describes crystalline ZrCo4Cu at its relaxed geometry. The functional is PBE-GGA.

Summary:
- V: 77.3 Å³/cell
- ΔH_f (0 K): -0.15 eV/atom

CIF file:
```
data_ZrCo4Cu
_chemical_formula_sum 'Zr1 Co4 Cu1'
_symmetry_space_group_name_H-M 'P 1'
_symmetry_Int_Tables_number 1
_symmetry_space_group_name_Hall 'P 1'
_cell_length_a 4.781
_cell_length_b 4.781
_cell_length_c 4.781
_cell_angle_alpha 60.00
_cell_angle_beta 60.00
_cell_angle_gamma 60.00
loop_
_atom_site_label
_atom_site_type_symbol
_atom_site_fract_x
_atom_site_fract_y
_atom_site_fract_z
_atom_site_occupancy
Co1 Co 0.624 0.624 0.127 1
Co2 Co 0.624 0.127 0.624 1
Cu1 Cu 0.250 0.250 0.250 1
Zr1 Zr 0.000 0.000 0.000 1
Co3 Co 0.624 0.624 0.624 1
Co4 Co 0.127 0.624 0.624 1
```

Entry 7:
This record from the Alexandria database describes crystalline Zr5Co2Cu at its relaxed geometry. The functional is PBE-GGA.

Summary:
- V: 296.4 Å³/cell
- ΔH_f (0 K): -0.18 eV/atom

CIF file:
```
data_Zr5Co2Cu
_chemical_formula_sum 'Zr10 Co4 Cu2'
_symmetry_space_group_name_H-M 'P 1'
_symmetry_Int_Tables_number 1
_symmetry_space_group_name_Hall 'P 1'
_cell_length_a 7.250
_cell_length_b 7.250
_cell_length_c 7.621
_cell_angle_alpha 118.40
_cell_angle_beta 118.40
_cell_angle_gamma 90.00
loop_
_atom_site_label
_atom_site_type_symbol
_atom_site_fract_x
_atom_site_fract_y
_atom_site_fract_z
_atom_site_occupancy
Zr1 Zr 0.515 0.699 0.714 1
Zr2 Zr 0.015 0.515 0.714 1
Co1 Co 0.128 0.372 0.000 1
Co2 Co 0.872 0.628 0.000 1
Zr3 Zr 0.985 0.485 0.286 1
Zr4 Zr 0.699 0.199 0.714 1
Zr5 Zr 0.301 0.801 0.286 1
Zr6 Zr 0.801 0.985 0.286 1
Co3 Co 0.372 0.872 0.000 1
Cu1 Cu 0.750 0.750 0.500 1
Cu2 Cu 0.250 0.250 0.500 1
Zr7 Zr 0.000 0.000 0.000 1
Zr8 Zr 0.199 0.015 0.714 1
Zr9 Zr 0.485 0.301 0.286 1
Co4 Co 0.628 0.128 0.000 1
Zr10 Zr 0.500 0.500 0.000 1
```

Entry 8:
This record from the Alexandria database describes crystalline ZrCoCu2 at its relaxed geometry. The functional is PBE-GGA.

Summary:
- V: 56.6 Å³/cell
- ΔH_f (0 K): 0.05 eV/atom

CIF file:
```
data_ZrCoCu2
_chemical_formula_sum 'Zr1 Co1 Cu2'
_symmetry_space_group_name_H-M 'P 1'
_symmetry_Int_Tables_number 1
_symmetry_space_group_name_Hall 'P 1'
_cell_length_a 4.233
_cell_length_b 2.757
_cell_length_c 5.075
_cell_angle_alpha 72.99
_cell_angle_beta 90.00
_cell_angle_gamma 90.00
loop_
_atom_site_label
_atom_site_type_symbol
_atom_site_fract_x
_atom_site_fract_y
_atom_site_fract_z
_atom_site_occupancy
Cu1 Cu 0.000 0.571 0.527 1
Cu2 Cu 0.000 0.929 0.973 1
Zr1 Zr 0.500 0.250 0.250 1
Co1 Co 0.500 0.750 0.750 1
```

Entry 9:
This record from the Alexandria database describes crystalline Zr2Co3Cu at its relaxed geometry. The functional is PBE-GGA.

Summary:
- V: 170.1 Å³/cell
- ΔH_f (0 K): -0.24 eV/atom

CIF file:
```
data_Zr2Co3Cu
_chemical_formula_sum 'Zr4 Co6 Cu2'
_symmetry_space_group_name_H-M 'P 1'
_symmetry_Int_Tables_number 1
_symmetry_space_group_name_Hall 'P 1'
_cell_length_a 4.958
_cell_length_b 4.958
_cell_length_c 7.992
_cell_angle_alpha 90.00
_cell_angle_beta 90.00
_cell_angle_gamma 120.00
loop_
_atom_site_label
_atom_site_type_symbol
_atom_site_fract_x
_atom_site_fract_y
_atom_site_fract_z
_atom_site_occupancy
Cu1 Cu 0.000 0.000 0.500 1
Co1 Co 0.170 0.830 0.250 1
Co2 Co 0.341 0.170 0.750 1
Co3 Co 0.659 0.830 0.250 1
Zr1 Zr 0.333 0.667 0.936 1
Co4 Co 0.830 0.659 0.750 1
Co5 Co 0.830 0.170 0.750 1
Zr2 Zr 0.667 0.333 0.436 1
Cu2 Cu 0.000 0.000 0.000 1
Zr3 Zr 0.667 0.333 0.064 1
Co6 Co 0.170 0.341 0.250 1
Zr4 Zr 0.333 0.667 0.564 1
```

Entry 10:
This record from the Alexandria database describes crystalline ZrCoCu2 at its relaxed geometry. The functional is PBE-GGA.

Summary:
- V: 56.9 Å³/cell
- ΔH_f (0 K): -0.04 eV/atom

CIF file:
```
data_ZrCoCu2
_chemical_formula_sum 'Zr1 Co1 Cu2'
_symmetry_space_group_name_H-M 'P 1'
_symmetry_Int_Tables_number 1
_symmetry_space_group_name_Hall 'P 1'
_cell_length_a 4.316
_cell_length_b 4.316
_cell_length_c 4.316
_cell_angle_alpha 60.00
_cell_angle_beta 60.00
_cell_angle_gamma 60.00
loop_
_atom_site_label
_atom_site_type_symbol
_atom_site_fract_x
_atom_site_fract_y
_atom_site_fract_z
_atom_site_occupancy
Cu1 Cu 0.000 0.000 0.000 1
Cu2 Cu 0.750 0.750 0.750 1
Zr1 Zr 0.250 0.250 0.250 1
Co1 Co 0.500 0.500 0.500 1
```